Arrangement P

This record from the Alexandria database describes an optimized crystal structure of ZnTeOs2. The functional is PBE.

- theoretical density (g/cm³) = 14.2

The structure in CIF format:
```
data_ZnTeOs2
_space_group_name_H-M_alt 'C m m m'
_space_group_IT_number 65
_space_group_name_Hall '-C 2 2'
_cell_length_a 2.914
_cell_length_b 4.955
_cell_length_c 9.309
_cell_angle_alpha 90.00
_cell_angle_beta 90.00
_cell_angle_gamma 90.00
loop_
_atom_site_label
_atom_site_fract_x
_atom_site_fract_y
_atom_site_fract_z
Zn1 0.000 0.000 0.000
Te1 0.000 0.000 0.500
Os1 0.000 0.500 0.231
```


Arrangement Q

This record from the Alexandria database describes an optimized crystal structure of ZnTeOs2. The functional is PBE.

- theoretical density (g/cm³) = 12.9

The structure in CIF format:
```
data_ZnTeOs2
_space_group_name_H-M_alt 'C m m 2'
_space_group_IT_number 35
_cell_length_a 2.862
_cell_length_b 5.065
_cell_length_c 10.177
_cell_angle_alpha 90.00
_cell_angle_beta 90.00
_cell_angle_gamma 90.00
loop_
_space_group_symop_operation_xyz
'x,y,z'
'-x,-y,z'
'-x,y,z'
'x,-y,z'
'x+1/2,y+1/2,z'
'-x+1/2,-y+1/2,z'
'-x+1/2,y+1/2,z'
'x+1/2,-y+1/2,z'
loop_
_atom_site_label
_atom_site_fract_x
_atom_site_fract_y
_atom_site_fract_z
Zn1 0.000 0.000 0.000
Te1 0.000 0.500 0.675
Os1 0.000 0.000 0.430
Os2 0.000 0.500 0.220
```


Arrangement R

This record from the Alexandria database describes an optimized crystal structure of ZnTeOs2. The functional is PBE.

- theoretical density (g/cm³) = 14.1

The structure in CIF format:
```
data_ZnTeOs2
_space_group_name_H-M_alt 'C 1 m 1'
_space_group_IT_number 8
_cell_length_a 9.584
_cell_length_b 3.037
_cell_length_c 5.104
_cell_angle_alpha 90.00
_cell_angle_beta 114.90
_cell_angle_gamma 90.00
loop_
_space_group_symop_operation_xyz
'x,y,z'
'x,-y,z'
'x+1/2,y+1/2,z'
'x+1/2,-y+1/2,z'
loop_
_atom_site_label
_atom_site_fract_x
_atom_site_fract_y
_atom_site_fract_z
Zn1 0.000 0.000 0.000
Te1 0.203 0.000 0.627
Os1 0.245 0.500 0.078
Os2 0.450 0.000 0.494
```


Arrangement S

This record from the Alexandria database describes an optimized crystal structure of ZnTeOs2. The functional is PBE.

- theoretical density (g/cm³) = 13.2

The structure in CIF format:
```
data_ZnTeOs2
_space_group_name_H-M_alt 'I m m 2'
_space_group_IT_number 44
_cell_length_a 2.935
_cell_length_b 4.172
_cell_length_c 11.795
_cell_angle_alpha 90.00
_cell_angle_beta 90.00
_cell_angle_gamma 90.00
loop_
_space_group_symop_operation_xyz
'x,y,z'
'-x,-y,z'
'-x,y,z'
'x,-y,z'
'x+1/2,y+1/2,z+1/2'
'-x+1/2,-y+1/2,z+1/2'
'-x+1/2,y+1/2,z+1/2'
'x+1/2,-y+1/2,z+1/2'
loop_
_atom_site_label
_atom_site_fract_x
_atom_site_fract_y
_atom_site_fract_z
Zn1 0.000 0.000 0.000
Te1 0.000 0.500 0.235
Os1 0.000 0.000 0.531
Os2 0.000 0.500 0.849
```


Short version: arrangement P is the least stable of them.


Arrangement P

This record from the Alexandria database describes an optimized crystal structure of ZnTeOs2. The functional is PBE.

- theoretical density (g/cm³) = 14.5

The structure in CIF format:
```
data_ZnTeOs2
_space_group_name_H-M_alt 'R -3 m'
_space_group_IT_number 166
_space_group_name_Hall '-R 3 2"'
_cell_length_a 3.0397
_cell_length_b 3.0397
_cell_length_c 24.6800
_cell_angle_alpha 90.00
_cell_angle_beta 90.00
_cell_angle_gamma 120.00
loop_
_atom_site_label
_atom_site_fract_x
_atom_site_fract_y
_atom_site_fract_z
Zn1 0.0000 0.0000 0.0000
Te1 0.0000 0.0000 0.5000
Os1 0.0000 0.0000 0.2513
```


Arrangement Q

This record from the Alexandria database describes an optimized crystal structure of ZnTeOs2. The functional is PBE.

- theoretical density (g/cm³) = 12.7

The structure in CIF format:
```
data_ZnTeOs2
_space_group_name_H-M_alt 'P m m 2'
_space_group_IT_number 25
_cell_length_a 2.839
_cell_length_b 3.444
_cell_length_c 7.675
_cell_angle_alpha 90.00
_cell_angle_beta 90.00
_cell_angle_gamma 90.00
loop_
_space_group_symop_operation_xyz
'x,y,z'
'-x,-y,z'
'-x,y,z'
'x,-y,z'
loop_
_atom_site_label
_atom_site_fract_x
_atom_site_fract_y
_atom_site_fract_z
Zn1 0.000 0.000 0.000
Te1 0.000 0.500 0.666
Os1 0.000 0.000 0.380
Os2 0.500 0.500 0.211
```


Arrangement R

This record from the Alexandria database describes an optimized crystal structure of ZnTeOs2. The functional is PBE.

- theoretical density (g/cm³) = 14.3

The structure in CIF format:
```
data_ZnTeOs2
_space_group_name_H-M_alt 'C 1 2/m 1'
_space_group_IT_number 12
_cell_length_a 5.903
_cell_length_b 8.801
_cell_length_c 2.973
_cell_angle_alpha 90.00
_cell_angle_beta 120.23
_cell_angle_gamma 90.00
loop_
_space_group_symop_operation_xyz
'x,y,z'
'-x,-y,-z'
'-x,y,-z'
'x,-y,z'
'x+1/2,y+1/2,z'
'-x+1/2,-y+1/2,-z'
'-x+1/2,y+1/2,-z'
'x+1/2,-y+1/2,z'
loop_
_atom_site_label
_atom_site_fract_x
_atom_site_fract_y
_atom_site_fract_z
Zn1 0.000 0.000 0.000
Te1 0.000 0.500 0.000
Os1 0.250 0.250 0.500
```


Arrangement S

This record from the Alexandria database describes an optimized crystal structure of ZnTeOs2. The functional is PBE.

- theoretical density (g/cm³) = 15.1

The structure in CIF format:
```
data_ZnTeOs2
_space_group_name_H-M_alt 'P 4/m m m'
_space_group_IT_number 123
_space_group_name_Hall '-P 4 2'
_cell_length_a 3.186
_cell_length_b 3.186
_cell_length_c 6.213
_cell_angle_alpha 90.00
_cell_angle_beta 90.00
_cell_angle_gamma 90.00
loop_
_atom_site_label
_atom_site_fract_x
_atom_site_fract_y
_atom_site_fract_z
Zn1 0.000 0.000 0.000
Te1 0.000 0.000 0.500
Os1 0.500 0.500 0.240
```


Short version: arrangement R is the least stable of them.


Arrangement P

This record from the Alexandria database describes an optimized crystal structure of ZnTeOs. The functional is PBE.

- theoretical density (g/cm³) = 11.2

The structure in CIF format:
```
data_ZnTeOs
_space_group_name_H-M_alt 'P 3 m 1'
_space_group_IT_number 156
_cell_length_a 3.2332
_cell_length_b 3.2332
_cell_length_c 6.2889
_cell_angle_alpha 90.00
_cell_angle_beta 90.00
_cell_angle_gamma 120.00
loop_
_space_group_symop_operation_xyz
'x,y,z'
'-y,x-y,z'
'-x+y,-x,z'
'-y,-x,z'
'-x+y,y,z'
'x,x-y,z'
loop_
_atom_site_label
_atom_site_fract_x
_atom_site_fract_y
_atom_site_fract_z
Zn1 0.0000 0.0000 0.0000
Te1 0.6667 0.3333 0.5982
Os1 0.3333 0.6667 0.2983
```


Arrangement Q

This record from the Alexandria database describes an optimized crystal structure of ZnTeOs. The functional is PBE.

- theoretical density (g/cm³) = 10.7

The structure in CIF format:
```
data_ZnTeOs
_space_group_name_H-M_alt 'F m m 2'
_space_group_IT_number 42
_space_group_name_Hall 'F 2 -2'
_cell_length_a 3.064
_cell_length_b 5.308
_cell_length_c 14.695
_cell_angle_alpha 90.00
_cell_angle_beta 90.00
_cell_angle_gamma 90.00
loop_
_atom_site_label
_atom_site_fract_x
_atom_site_fract_y
_atom_site_fract_z
Zn1 0.000 0.000 0.000
Te1 0.000 0.000 0.713
Os1 0.000 0.000 0.359
```


Arrangement R

This record from the Alexandria database describes an optimized crystal structure of ZnTeOs. The functional is PBE.

- theoretical density (g/cm³) = 12.2

The structure in CIF format:
```
data_ZnTeOs
_space_group_name_H-M_alt 'I m m 2'
_space_group_IT_number 44
_cell_length_a 3.243
_cell_length_b 3.824
_cell_length_c 8.434
_cell_angle_alpha 90.00
_cell_angle_beta 90.00
_cell_angle_gamma 90.00
loop_
_space_group_symop_operation_xyz
'x,y,z'
'-x,-y,z'
'-x,y,z'
'x,-y,z'
'x+1/2,y+1/2,z+1/2'
'-x+1/2,-y+1/2,z+1/2'
'-x+1/2,y+1/2,z+1/2'
'x+1/2,-y+1/2,z+1/2'
loop_
_atom_site_label
_atom_site_fract_x
_atom_site_fract_y
_atom_site_fract_z
Zn1 0.000 0.000 0.000
Te1 0.000 0.000 0.318
Os1 0.000 0.000 0.665
```


Short version: arrangement Q is the least stable of them.


Arrangement P

This record from the Alexandria database describes an optimized crystal structure of ZnTeOs. The functional is PBE.

- theoretical density (g/cm³) = 11.5

The structure in CIF format:
```
data_ZnTeOs
_space_group_name_H-M_alt 'P -6 m 2'
_space_group_IT_number 187
_space_group_name_Hall 'P -6 2'
_cell_length_a 4.4925
_cell_length_b 4.4925
_cell_length_c 3.1708
_cell_angle_alpha 90.00
_cell_angle_beta 90.00
_cell_angle_gamma 120.00
loop_
_atom_site_label
_atom_site_fract_x
_atom_site_fract_y
_atom_site_fract_z
Zn1 0.0000 0.0000 0.0000
Te1 0.3333 0.6667 0.5000
Os1 0.6667 0.3333 0.5000
```


Arrangement Q

This record from the Alexandria database describes an optimized crystal structure of ZnTeOs. The functional is PBE.

- theoretical density (g/cm³) = 10.7

The structure in CIF format:
```
data_ZnTeOs
_space_group_name_H-M_alt 'I 4 m m'
_space_group_IT_number 107
_space_group_name_Hall 'I 4 -2'
_cell_length_a 3.118
_cell_length_b 3.118
_cell_length_c 12.265
_cell_angle_alpha 90.00
_cell_angle_beta 90.00
_cell_angle_gamma 90.00
loop_
_atom_site_label
_atom_site_fract_x
_atom_site_fract_y
_atom_site_fract_z
Zn1 0.000 0.000 0.000
Te1 0.000 0.000 0.740
Os1 0.000 0.000 0.371
```


Short version: arrangement P is the least stable of them.


Arrangement P

This record from the Alexandria database describes an optimized crystal structure of ZnTeOs3. The functional is PBE.

- theoretical density (g/cm³) = 13.5

The structure in CIF format:
```
data_ZnTeOs3
_space_group_name_H-M_alt 'P m -3 m'
_space_group_IT_number 221
_space_group_name_Hall '-P 4 2 3'
_cell_length_a 4.546
_cell_length_b 4.546
_cell_length_c 4.546
_cell_angle_alpha 90.00
_cell_angle_beta 90.00
_cell_angle_gamma 90.00
loop_
_atom_site_label
_atom_site_fract_x
_atom_site_fract_y
_atom_site_fract_z
Zn1 0.000 0.000 0.000
Te1 0.500 0.500 0.500
Os1 0.000 0.000 0.500
```


Arrangement Q

This record from the Alexandria database describes an optimized crystal structure of ZnTeOs3. The functional is PBE.

- theoretical density (g/cm³) = 11.5

The structure in CIF format:
```
data_ZnTeOs3
_space_group_name_H-M_alt 'P m -3 m'
_space_group_IT_number 221
_space_group_name_Hall '-P 4 2 3'
_cell_length_a 4.801
_cell_length_b 4.801
_cell_length_c 4.801
_cell_angle_alpha 90.00
_cell_angle_beta 90.00
_cell_angle_gamma 90.00
loop_
_atom_site_label
_atom_site_fract_x
_atom_site_fract_y
_atom_site_fract_z
Zn1 0.000 0.000 0.000
Te1 0.500 0.500 0.500
Os1 0.000 0.500 0.500
```


Short version: arrangement Q is the least stable of them.